Material: Ac3Zn4Ir4
Method: DFT, PBE
State: optimized geometry

Spin magnetization: 0.000 μB/f.u.
Energy of formation from the pure elements: -5.18 eV/f.u.
ΔE to the lowest computed polymorph: 7.7 meV/atom

Unit cell a=8.490 b=8.490 c=8.490 alpha=150.33 beta=128.70 gamma=60.39
Atoms (fractional coordinates):
Ac 0.000 0.000 0.000
Ac 0.369 0.869 0.500
Ac 0.631 0.131 0.500
Zn 0.016 0.331 0.685
Zn 0.354 0.669 0.685
Zn 0.646 0.331 0.315
Zn 0.984 0.669 0.315
Ir 0.216 0.216 0.000
Ir 0.321 0.500 0.821
Ir 0.679 0.500 0.179
Ir 0.784 0.784 0.000

***

Material: Ac4ZnIr2
Method: DFT, PBE
State: optimized geometry

Spin magnetization: 0.000 μB/f.u.
Energy of formation from the pure elements: -3.69 eV/f.u.
ΔE to the lowest computed polymorph: 0.0 meV/atom

Unit cell a=13.443 b=4.410 c=15.897 alpha=90.00 beta=90.00 gamma=90.00
Atoms (fractional coordinates):
Ac 0.033 0.250 0.213
Ac 0.085 0.750 0.427
Ac 0.121 0.250 0.970
Ac 0.202 0.250 0.661
Ac 0.298 0.750 0.161
Ac 0.379 0.750 0.470
Ac 0.415 0.250 0.927
Ac 0.467 0.750 0.713
Ac 0.533 0.250 0.287
Ac 0.585 0.750 0.073
Ac 0.621 0.250 0.530
Ac 0.702 0.250 0.839
Ac 0.798 0.750 0.339
Ac 0.879 0.750 0.030
Ac 0.915 0.250 0.573
Ac 0.967 0.750 0.787
Zn 0.238 0.750 0.831
Zn 0.262 0.250 0.331
Zn 0.738 0.750 0.669
Zn 0.762 0.250 0.169
Ir 0.059 0.750 0.614
Ir 0.087 0.750 0.096
Ir 0.413 0.250 0.596
Ir 0.441 0.250 0.114
Ir 0.559 0.750 0.886
Ir 0.587 0.750 0.404
Ir 0.913 0.250 0.904
Ir 0.941 0.250 0.386